Model one:
LiRhCl2 | PBE | relaxed

Lattice parameters (Å, degrees): 3.3028 3.3028 22.6522 90.00 90.00 120.00
Space group R-3m (No. 166, hexagonal axes)
Unique sites:
Li1 0.0000 0.0000 0.0000 x3
Rh1 0.0000 0.0000 0.5000 x3
Cl1 0.0000 0.0000 0.3989 x6

Calculated values
- Fermi-level density of states: 0.727 states/eV/atom

=====

Model two:
LiRhCl2 | PBE | relaxed

Lattice parameters (Å, degrees): 6.6484 3.8151 6.1381 90.00 111.02 90.00
Space group C2/m (No. 12)
Unique sites:
Li1 0.0000 0.0000 0.0000 x2
Rh1 0.0000 0.5000 0.5000 x2
Cl1 0.2484 0.5000 0.2482 x4

=====

Model three:
LiRhCl2 | PBE | relaxed

Lattice parameters (Å, degrees): 6.8546 6.8732 3.3935 90.00 94.22 90.00
Space group C2/m (No. 12)
Unique sites:
Li1 0.0000 0.0000 0.0000 x2
Rh1 0.0000 0.5000 0.0000 x2
Cl1 0.2500 0.2500 0.0000 x4

Calculated values
- Fermi-level density of states: 0.859 states/eV/atom

=====

model one has the most favorable energy; the next structure is 24 meV per atom above.

=====

Model one:
LiRh2Cl | PBE | relaxed

Lattice parameters (Å, degrees): 2.8549 5.0076 8.4506 90.00 90.00 90.00
Space group Cmmm (No. 65)
Unique sites:
Li1 0.0000 0.0000 0.0000 x2
Rh1 0.0000 0.5000 0.2581 x4
Cl1 0.0000 0.0000 0.5000 x2

Calculated values
- Fermi-level density of states: 1.362 states/eV/atom

=====

Model two:
LiRh2Cl | PBE | relaxed

Lattice parameters (Å, degrees): 2.8781 2.8781 24.6620 90.00 90.00 120.00
Space group R-3m (No. 166, hexagonal axes)
Unique sites:
Li1 0.0000 0.0000 0.0000 x3
Rh1 0.0000 0.0000 0.2467 x6
Cl1 0.0000 0.0000 0.5000 x3

Calculated values
- Fermi-level density of states: 1.406 states/eV/atom

=====

Model three:
LiRh2Cl | PBE | relaxed

Lattice parameters (Å, degrees): 6.0643 6.0643 6.0643 90.00 90.00 90.00
Space group Fm-3m (No. 225)
Unique sites:
Li1 0.0000 0.0000 0.0000 x4
Rh1 0.2500 0.2500 0.2500 x8
Cl1 0.0000 0.0000 0.5000 x4

Calculated values
- Fermi-level density of states: 0.868 states/eV/atom

=====

Model four:
LiRh2Cl | PBE | relaxed

Lattice parameters (Å, degrees): 4.4172 4.4172 6.2816 90.00 90.00 90.00
Space group I-4m2 (No. 119)
Unique sites:
Li1 0.0000 0.0000 0.0000 x2
Rh1 0.0000 0.0000 0.5000 x2
Rh2 0.0000 0.5000 0.7500 x2
Cl1 0.0000 0.5000 0.2500 x2

Calculated values
- Fermi-level density of states: 0.785 states/eV/atom

=====

model four has the most favorable energy; the next structure is 30 meV per atom above.

=====

Model one:
LiRh2Cl | PBE | relaxed

Lattice parameters (Å, degrees): 2.8481 4.2952 5.0498 90.00 90.00 90.00
Space group Pmmm (No. 47)
Unique sites:
Li1 0.0000 0.0000 0.0000 x1
Rh1 0.5000 0.5000 0.2466 x2
Cl1 0.0000 0.0000 0.5000 x1

Calculated values
- Fermi-level density of states: 1.406 states/eV/atom

=====

Model two:
LiRh2Cl | PBE | relaxed

Lattice parameters (Å, degrees): 3.4642 3.4642 6.6505 90.00 90.00 90.00
Space group P4/mmm (No. 123)
Unique sites:
Li1 0.0000 0.0000 0.0000 x1
Rh1 0.0000 0.5000 0.5000 x2
Cl1 0.5000 0.5000 0.0000 x1

Calculated values
- Fermi-level density of states: 1.324 states/eV/atom

=====

Model three:
LiRh2Cl | PBE | relaxed

Lattice parameters (Å, degrees): 3.0611 3.4150 13.6571 90.00 90.00 90.00
Space group Immm (No. 71)
Unique sites:
Li1 0.0000 0.0000 0.0000 x2
Rh1 0.0000 0.5000 0.2117 x4
Cl1 0.0000 0.0000 0.5000 x2

Calculated values
- Fermi-level density of states: 1.318 states/eV/atom

=====

Model four:
LiRh2Cl | PBE | relaxed

Lattice parameters (Å, degrees): 3.2132 3.2132 6.7670 90.00 90.00 90.00
Space group P4mm (No. 99)
Unique sites:
Li1 0.0000 0.0000 0.0000 x1
Rh1 0.0000 0.0000 0.4548 x1
Rh2 0.5000 0.5000 0.2903 x1
Cl1 0.5000 0.5000 0.8965 x1

Calculated values
- Fermi-level density of states: 0.958 states/eV/atom

=====

model four has the most favorable energy; the next structure is 39 meV per atom above.

=====

Model one:
LiRh2Cl | PBE | relaxed

Lattice parameters (Å, degrees): 2.8929 4.4383 9.0550 90.00 90.00 90.00
Space group Imm2 (No. 44)
Unique sites:
Li1 0.0000 0.0000 0.0000 x2
Rh1 0.0000 0.0000 0.5405 x2
Rh2 0.0000 0.5000 0.7920 x2
Cl1 0.0000 0.5000 0.2594 x2

Calculated values
- Fermi-level density of states: 1.118 states/eV/atom

=====

Model two:
LiRh2Cl | PBE | relaxed

Lattice parameters (Å, degrees): 5.3687 8.8668 2.9139 90.00 122.40 90.00
Space group C2/m (No. 12)
Unique sites:
Li1 0.0000 0.0000 0.0000 x2
Rh1 0.2500 0.2500 0.5000 x4
Cl1 0.0000 0.5000 0.0000 x2

Calculated values
- Fermi-level density of states: 0.935 states/eV/atom

=====

model two has the most favorable energy; the next structure is 110 meV per atom above.

=====

Model one:
LiRh2Cl | PBE | relaxed

Lattice parameters (Å, degrees): 2.8900 4.8396 4.3929 90.00 90.49 90.00
Space group P2/m (No. 10)
Unique sites:
Li1 0.0000 0.0000 0.0000 x1
Rh1 0.2620 0.5000 0.2486 x2
Cl1 0.5000 0.0000 0.5000 x1

Calculated values
- Fermi-level density of states: 1.257 states/eV/atom

=====

Model two:
LiRh2Cl | PBE | relaxed

Lattice parameters (Å, degrees): 3.1742 3.1398 13.0982 90.00 90.00 90.00
Space group Amm2 (No. 38)
Unique sites:
Li1 0.0000 0.0000 0.0000 x2
Rh1 0.0000 0.0000 0.2442 x2
Rh2 0.5000 0.0000 0.6523 x2
Cl1 0.5000 0.0000 0.4261 x2

Calculated values
- Fermi-level density of states: 0.996 states/eV/atom

=====

Model three:
LiRh2Cl | PBE | relaxed

Lattice parameters (Å, degrees): 4.2445 4.2445 3.0267 90.00 90.00 90.00
Space group P4/mmm (No. 123)
Unique sites:
Li1 0.0000 0.0000 0.0000 x1
Rh1 0.0000 0.5000 0.5000 x2
Cl1 0.5000 0.5000 0.0000 x1

Calculated values
- Fermi-level density of states: 0.734 states/eV/atom

=====

model two has the most favorable energy; the next structure is 248 meV per atom above.

=====

Model one:
LiRh2Cl | PBE | relaxed

Lattice parameters (Å, degrees): 7.5775 7.5775 4.6339 90.00 90.00 90.00
Space group I-42d (No. 122)
Unique sites:
Li1 0.0000 0.0000 0.0000 x4
Rh1 0.1658 0.2500 0.6250 x8
Cl1 0.0000 0.0000 0.5000 x4

Calculated values
- Fermi-level density of states: 1.255 states/eV/atom

=====

Model two:
LiRh2Cl | PBE | relaxed

Lattice parameters (Å, degrees): 7.7673 2.9290 6.6774 90.00 111.82 90.00
Space group Cm (No. 8)
Unique sites:
Li1 0.0000 0.0000 0.0000 x2
Rh1 0.1948 0.0000 0.6981 x2
Rh2 0.4178 0.0000 0.5345 x2
Cl1 0.2663 0.5000 0.1757 x2

Calculated values
- Fermi-level density of states: 1.013 states/eV/atom

=====

Model three:
LiRh2Cl | PBE | relaxed

Lattice parameters (Å, degrees): 12.6640 3.2077 3.3902 90.00 105.07 90.00
Space group C2/m (No. 12)
Unique sites:
Li1 0.0000 0.0000 0.0000 x2
Rh1 0.2082 0.5000 0.7096 x4
Cl1 0.0000 0.5000 0.5000 x2

Calculated values
- Fermi-level density of states: 1.275 states/eV/atom

=====

model three has the most favorable energy; the next structure is 149 meV per atom above.

=====

Model one:
LiRhCl | PBE | relaxed

Lattice parameters (Å, degrees): 3.1552 3.1552 9.0271 90.00 90.00 90.00
Space group I4mm (No. 107)
Unique sites:
Li1 0.0000 0.0000 0.0000 x2
Rh1 0.0000 0.0000 0.6612 x2
Cl1 0.0000 0.0000 0.3951 x2

Calculated values
- Fermi-level density of states: 1.054 states/eV/atom

=====

Model two:
LiRhCl | PBE | relaxed

Lattice parameters (Å, degrees): 3.0892 3.0892 5.7613 90.00 90.00 120.00
Space group P3m1 (No. 156)
Unique sites:
Li1 0.0000 0.0000 0.0000 x1
Rh1 0.6667 0.3333 0.3761 x1
Cl1 0.3333 0.6667 0.7210 x1

Calculated values
- Fermi-level density of states: 0.685 states/eV/atom

=====

model one has the most favorable energy; the next structure is 16 meV per atom above.

=====

Model one:
LiRhCl | PBE | relaxed

Lattice parameters (Å, degrees): 4.1367 4.1367 3.1304 90.00 90.00 120.00
Space group P-6m2 (No. 187)
Unique sites:
Li1 0.0000 0.0000 0.0000 x1
Rh1 0.3333 0.6667 0.5000 x1
Cl1 0.6667 0.3333 0.5000 x1

Calculated values
- Fermi-level density of states: 1.157 states/eV/atom

=====

Model two:
LiRhCl | PBE | relaxed

Lattice parameters (Å, degrees): 5.7860 5.7860 5.7860 90.00 90.00 90.00
Space group F-43m (No. 216)
Unique sites:
Li1 0.0000 0.0000 0.0000 x4
Rh1 0.0000 0.0000 0.5000 x4
Cl1 0.2500 0.2500 0.7500 x4

Calculated values
- Fermi-level density of states: 1.341 states/eV/atom

=====

Model three:
LiRhCl | PBE | relaxed

Lattice parameters (Å, degrees): 3.0980 5.2324 11.7109 90.00 90.00 90.00
Space group Fmm2 (No. 42)
Unique sites:
Li1 0.0000 0.0000 0.0000 x4
Rh1 0.0000 0.0000 0.3152 x4
Cl1 0.0000 0.0000 0.6471 x4

Calculated values
- Fermi-level density of states: 0.909 states/eV/atom

=====

model one has the most favorable energy; the next structure is 98 meV per atom above.